## Mn5Ni (PBE)

Data for crystalline Mn5Ni at its relaxed geometry.

Geometry as extended XYZ:
```
6
Lattice="4.3224 0.0000 0.0000 -2.1612 3.7433 0.0000 0.0000 0.0000 3.9791" Properties=species:S:1:pos:R:3 pbc="T T T"
Mn 4.3163 0.0000 0.0000
Mn 2.1643 1.2531 0.0000
Mn 0.0031 2.4902 0.0000
Mn -0.7204 1.2478 1.9895
Mn 1.4408 2.4955 1.9895
Ni 1.4408 0.0000 1.9895
```

* excess energy over the best structure of this formula in the dataset: 0.000 eV per atom
* space-group type: P-62m
* ΔH_f (0 K): 0.03 eV/atom
* calculated total energy: -51.4 eV/f.u.

=====

## MnNi (PBE)

Data for crystalline MnNi at its relaxed geometry.

Geometry as extended XYZ:
```
2
Lattice="-0.3087 -2.1979 1.1247 -0.7683 -0.9916 -2.1487 3.3867 -0.8861 -0.8020" Properties=species:S:1:pos:R:3 pbc="T T T"
Ni 1.1548 -2.0378 -0.9131
Mn 0.0000 0.0000 0.0000
```

* space-group type: P4/mmm
* ΔH_f (0 K): 0.06 eV/atom
* calculated total energy: -14.8 eV/f.u.

=====

## MnNi (PBE)

Data for crystalline MnNi at its relaxed geometry.

Geometry as extended XYZ:
```
4
Lattice="-4.2078 -0.6816 1.9859 -2.3035 -3.8710 -1.3502 4.1972 1.2167 1.7371" Properties=species:S:1:pos:R:3 pbc="T T T"
Mn -3.6200 -3.5256 0.4964
Mn 1.3058 0.1897 1.8765
Ni -0.3443 -1.2353 0.1766
Ni -1.9698 -2.1006 2.1963
```

* space-group type: Imma
* ΔH_f (0 K): 0.05 eV/atom
* calculated total energy: -14.8 eV/f.u.

=====

## Mn3Ni5 (PBE)

Data for crystalline Mn3Ni5 at its relaxed geometry.

Geometry as extended XYZ:
```
16
Lattice="-0.2001 6.7781 1.7132 -6.1426 3.3187 0.4433 -0.2963 -1.1533 4.5284" Properties=species:S:1:pos:R:3 pbc="T T T"
Ni -4.2283 6.7307 1.4376
Ni -2.2624 2.7893 2.9831
Ni -2.1142 3.3659 0.7189
Ni -4.3765 6.1540 3.7018
Ni -6.2607 4.5465 1.9587
Ni -0.3781 4.3969 4.7263
Ni -1.6028 5.7160 2.5613
Ni -4.8422 2.2881 1.4763
Ni -1.7967 6.6552 5.2086
Ni -5.0364 3.2272 4.1236
Mn -6.3363 7.0991 2.6038
Mn -0.3024 1.8442 4.0811
Mn -3.8409 4.4130 2.0830
Mn -2.5291 1.0382 1.3093
Mn -4.1099 7.9052 5.3756
Mn -2.7982 4.5301 4.6019
```

* space-group type: P6_3/mcm
* ΔH_f (0 K): 0.15 eV/atom
* calculated total energy: -55.2 eV/f.u.

=====

## MnNi (PBE)

Data for crystalline MnNi at its relaxed geometry.

Geometry as extended XYZ:
```
16
Lattice="-6.5681 -5.7165 -1.4180 5.6615 -5.5423 -3.8805 0.4482 -1.0487 2.1517" Properties=species:S:1:pos:R:3 pbc="T T T"
Mn 2.2425 -7.0632 -3.9096
Mn -3.1491 -4.1956 -1.3889
Mn 1.3563 -3.0156 -1.7522
Mn -2.2629 -8.2433 -3.5462
Mn -3.6482 -7.6747 -1.6025
Mn 3.1898 -4.6329 -1.5443
Mn 1.1271 -9.1693 -3.3256
Mn -1.5855 -3.1382 0.1789
Ni -0.7333 -4.1496 -1.8697
Ni -0.1733 -7.1092 -3.4288
Ni -2.0965 -6.0203 -2.4975
Ni 1.1899 -5.2386 -2.8010
Ni -0.9625 -10.3034 -3.4431
Ni 0.5041 -2.0041 0.2963
Ni 4.2424 -6.4575 -2.6529
Ni -4.7008 -5.8500 -0.4939
```

* space-group type: I4/m
* ΔH_f (0 K): 0.40 eV/atom
* calculated total energy: -14.2 eV/f.u.

=====

## MnNi2 (PBE)

Data for crystalline MnNi2 at its relaxed geometry.

Geometry as extended XYZ:
```
6
Lattice="-2.8051 2.8051 2.2729 2.8051 -2.8051 2.2729 2.8051 2.8051 -2.2729" Properties=species:S:1:pos:R:3 pbc="T T T"
Mn 0.0000 0.0000 1.1364
Mn 0.0000 0.0000 3.4093
Ni -0.8348 1.9703 2.2729
Ni 1.9703 0.8348 2.2729
Ni 0.8348 1.9703 0.0000
Ni 3.6399 0.8348 0.0000
```

* space-group type: I4/mcm
* ΔH_f (0 K): 0.30 eV/atom
* calculated total energy: -19.8 eV/f.u.

=====

## MnNi3 (PBE)

Data for crystalline MnNi3 at its relaxed geometry.

Geometry as extended XYZ:
```
4
Lattice="2.5823 0.0000 0.0000 0.0000 4.0939 0.0000 0.0000 0.0000 4.3257" Properties=species:S:1:pos:R:3 pbc="T T T"
Ni 0.0000 2.0469 1.4913
Ni 1.2912 0.0000 2.1309
Ni 1.2912 2.0469 3.6060
Mn 0.0000 0.0000 4.3071
```

* space-group type: Pmm2
* ΔH_f (0 K): -0.01 eV/atom
* calculated total energy: -26.6 eV/f.u.

=====

## Mn3Ni (PBE)

Data for crystalline Mn3Ni at its relaxed geometry.

Geometry as extended XYZ:
```
4
Lattice="-1.2212 -3.2674 0.2919 3.2320 -1.2517 -0.4897 0.5615 0.0986 3.4536" Properties=species:S:1:pos:R:3 pbc="T T T"
Mn 0.0000 0.0000 0.0000
Mn 1.8967 -0.5765 1.4820
Mn -0.3299 -1.5844 1.8727
Ni 1.0054 -2.2596 -0.0989
```

* space-group type: Pm-3m
* ΔH_f (0 K): 0.06 eV/atom
* calculated total energy: -33.0 eV/f.u.

=====

## MnNi (PBE)

Data for crystalline MnNi at its relaxed geometry.

Geometry as extended XYZ:
```
4
Lattice="2.9180 0.0000 0.0000 0.0000 2.9180 0.0000 0.0000 0.0000 5.3548" Properties=species:S:1:pos:R:3 pbc="T T T"
Mn 0.0000 0.0000 5.3129
Mn 1.4590 1.4590 1.3805
Ni 0.0000 0.0000 2.6554
Ni 1.4590 1.4590 4.0380
```

* space-group type: P4/nmm
* ΔH_f (0 K): 0.12 eV/atom
* calculated total energy: -14.7 eV/f.u.

=====

## Mn5Ni (PBE)

Data for crystalline Mn5Ni at its relaxed geometry.

Geometry as extended XYZ:
```
6
Lattice="-4.0031 -2.0291 -0.5481 3.3189 -0.7029 -2.9889 1.2890 -3.1284 2.1669" Properties=species:S:1:pos:R:3 pbc="T T T"
Mn 2.3039 -1.9156 -0.4110
Mn 0.8782 -1.1449 -2.1753
Mn -1.3571 -2.5787 0.8094
Mn 0.3024 -2.9302 -0.6851
Mn -1.5625 -1.5870 -1.3617
Ni 0.0000 0.0000 0.0000
```

* excess energy over the best structure of this formula in the dataset: 0.427 eV per atom
* space-group type: P6/mmm
* ΔH_f (0 K): 0.46 eV/atom
* calculated total energy: -48.9 eV/f.u.

=====

## MnNi3 (PBE)

Data for crystalline MnNi3 at its relaxed geometry.

Geometry as extended XYZ:
```
4
Lattice="-0.2795 1.1008 -2.2082 2.0090 -1.3885 0.4497 -3.9044 -6.5459 -2.7689" Properties=species:S:1:pos:R:3 pbc="T T T"
Mn 0.0000 0.0000 0.0000
Ni -1.9522 -3.2730 -1.3845
Ni 0.2896 -2.1625 -1.1146
Ni -1.7017 -5.5009 -2.5268
```

* space-group type: P-6m2
* ΔH_f (0 K): 0.05 eV/atom
* calculated total energy: -26.3 eV/f.u.

=====

## Mn3Ni (PBE)

Data for crystalline Mn3Ni at its relaxed geometry.

Geometry as extended XYZ:
```
4
Lattice="2.4759 0.0000 0.0000 -1.2380 8.2063 0.0010 1.2380 -0.1870 2.1360" Properties=species:S:1:pos:R:3 pbc="T T T"
Mn 2.4759 7.9839 2.1339
Mn 0.0000 6.1079 0.5347
Mn 1.2380 4.0450 1.0716
Ni 2.4759 1.9113 1.6023
```

* space-group type: R-3m
* ΔH_f (0 K): 0.08 eV/atom
* calculated total energy: -33.0 eV/f.u.

=====

## MnNi2 (PBE)

Data for crystalline MnNi2 at its relaxed geometry.

Geometry as extended XYZ:
```
3
Lattice="3.8586 0.0000 0.0000 1.9293 3.3417 0.0000 1.9293 1.1139 3.1506" Properties=species:S:1:pos:R:3 pbc="T T T"
Mn 0.0000 0.0000 0.0000
Ni 5.7880 3.3417 2.3629
Ni 1.9293 1.1139 0.7876
```

* space-group type: Fm-3m
* ΔH_f (0 K): 0.45 eV/atom
* calculated total energy: -19.4 eV/f.u.

=====

## MnNi (PBE)

Data for crystalline MnNi at its relaxed geometry.

Geometry as extended XYZ:
```
4
Lattice="2.4789 0.0000 0.0000 0.0000 3.9466 0.0000 0.0000 0.0000 4.3793" Properties=species:S:1:pos:R:3 pbc="T T T"
Mn 0.0000 0.0000 0.0095
Mn 1.2394 1.9733 3.6400
Ni 0.0000 1.9733 1.4639
Ni 1.2394 0.0000 2.1855
```

* space-group type: Pmmn
* ΔH_f (0 K): 0.07 eV/atom
* calculated total energy: -14.8 eV/f.u.

=====

## MnNi2 (PBE)

Data for crystalline MnNi2 at its relaxed geometry.

Geometry as extended XYZ:
```
12
Lattice="3.5630 0.0000 0.0000 0.0000 3.5630 0.0000 1.7815 1.7815 10.9666" Properties=species:S:1:pos:R:3 pbc="T T T"
Mn 3.5630 3.5630 1.7506
Mn 1.7815 1.7815 9.2161
Mn 3.5630 1.7815 7.2339
Mn 3.5630 1.7815 3.7328
Ni 3.5630 3.5630 5.4907
Ni 1.7815 1.7815 5.4760
Ni 1.7815 3.5630 0.0073
Ni 1.7815 3.5630 10.9593
Ni 3.5630 3.5630 9.1547
Ni 1.7815 1.7815 1.8119
Ni 1.7815 3.5630 3.6714
Ni 1.7815 3.5630 7.2952
```

* space-group type: I4_1/amd
* ΔH_f (0 K): -0.07 eV/atom
* calculated total energy: -21.0 eV/f.u.

=====

## Mn5Ni (PBE)

Data for crystalline Mn5Ni at its relaxed geometry.

Geometry as extended XYZ:
```
6
Lattice="5.7308 0.0074 0.0000 -4.6667 3.3263 0.0000 0.0000 0.0000 3.4980" Properties=species:S:1:pos:R:3 pbc="T T T"
Mn 3.7273 0.6469 1.7490
Mn 1.9608 1.2107 0.0000
Mn 0.2431 1.7590 1.7490
Mn -1.4741 2.3072 0.0000
Mn -3.2410 2.8712 1.7490
Ni 5.4420 0.0995 0.0000
```

* excess energy over the best structure of this formula in the dataset: 0.012 eV per atom
* space-group type: Cmmm
* ΔH_f (0 K): 0.05 eV/atom
* calculated total energy: -51.4 eV/f.u.

=====

## MnNi4 (PBE)

Data for crystalline MnNi4 at its relaxed geometry.

Geometry as extended XYZ:
```
5
Lattice="-2.5947 2.5947 2.5947 2.5947 -2.5947 2.5947 2.5947 2.5947 -2.5947" Properties=species:S:1:pos:R:3 pbc="T T T"
Mn 0.0000 0.0000 0.0000
Ni -1.2973 1.2973 1.2973
Ni 1.2973 1.2973 1.2973
Ni 1.2973 -1.2973 1.2973
Ni 1.2973 1.2973 -1.2973
```

* excess energy over the best structure of this formula in the dataset: 0.876 eV per atom
* space-group type: Im-3m
* ΔH_f (0 K): 0.83 eV/atom
* calculated total energy: -28.2 eV/f.u.

=====

## Mn4Ni5 (PBE)

Data for crystalline Mn4Ni5 at its relaxed geometry.

Geometry as extended XYZ:
```
18
Lattice="7.0608 0.0000 0.0000 3.5304 6.1148 0.0000 0.0000 0.0000 4.9507" Properties=species:S:1:pos:R:3 pbc="T T T"
Ni 4.6897 4.1067 1.2377
Ni 1.1594 2.0081 1.2377
Ni 4.7421 0.0000 1.2377
Ni 5.9014 2.0081 3.7130
Ni 2.3710 4.1067 3.7130
Ni 2.3187 0.0000 3.7130
Ni 3.5304 2.0383 0.0000
Ni 7.0608 4.0765 2.4753
Ni 7.0608 4.0765 0.0000
Ni 3.5304 2.0383 2.4753
Mn 0.0000 0.0000 0.0000
Mn 0.0000 0.0000 2.4753
Mn 5.8599 2.0799 1.2377
Mn 2.3295 4.0348 1.2377
Mn 2.4017 0.0000 1.2377
Mn 4.7312 4.0348 3.7130
Mn 1.2009 2.0799 3.7130
Mn 4.6590 0.0000 3.7130
```

* excess energy over the best structure of this formula in the dataset: 0.010 eV per atom
* space-group type: P6_3/mcm
* ΔH_f (0 K): 0.01 eV/atom
* calculated total energy: -65.5 eV/f.u.

=====

## Mn3Ni4 (PBE)

Data for crystalline Mn3Ni4 at its relaxed geometry.

Geometry as extended XYZ:
```
21
Lattice="-7.0184 0.5750 3.4735 2.6297 -5.1340 -2.7116 2.8508 0.3840 5.6966" Properties=species:S:1:pos:R:3 pbc="T T T"
Mn -4.9352 -0.3125 3.3921
Mn -0.7690 -2.0875 3.2292
Mn 3.3973 -3.8625 3.0664
Mn 0.6571 -1.4875 1.5739
Mn -2.1950 -2.6875 4.8846
Mn -3.5092 0.2875 1.7368
Mn -1.4261 -0.6000 1.6553
Mn 2.7402 -2.3750 1.4925
Mn -0.1119 -3.5750 4.8031
Ni -3.9958 -3.6960 1.4130
Ni -2.4592 -0.3370 3.9617
Ni 1.7071 -2.1120 3.7989
Ni -3.2450 -2.0630 2.6596
Ni 0.9212 -3.8380 2.4967
Ni 2.4578 -0.4790 5.0455
Ni 0.2416 0.2890 3.4341
Ni -2.6105 -0.9110 6.7448
Ni -1.2950 -3.0700 0.8854
Ni -4.4093 0.6700 5.7359
Ni -0.2430 -1.1050 5.5731
Ni 1.0725 -3.2640 -0.2863
```

* excess energy over the best structure of this formula in the dataset: 0.067 eV per atom
* space-group type: C2/m
* ΔH_f (0 K): 0.14 eV/atom
* calculated total energy: -49.7 eV/f.u.

=====

## MnNi (PBE)

Data for crystalline MnNi at its relaxed geometry.

Geometry as extended XYZ:
```
12
Lattice="9.7462 0.0000 0.0000 -4.8731 8.4405 0.0000 0.0000 0.0000 2.4132" Properties=species:S:1:pos:R:3 pbc="T T T"
Mn 5.8085 0.1127 0.6033
Mn 2.8066 5.0867 1.8099
Mn 6.7443 4.9739 0.6033
Mn -0.9354 8.3277 1.8099
Mn 2.0665 3.3538 0.6033
Mn -1.8712 3.4665 1.8099
Ni 6.2212 2.3408 0.6033
Ni 1.0834 6.5582 1.8099
Ni 4.6084 4.2173 0.6033
Ni -1.3481 6.0996 1.8099
Ni 3.7897 1.8823 0.6033
Ni 0.2647 4.2231 1.8099
```

* space-group type: P6_3/m
* ΔH_f (0 K): 0.78 eV/atom
* calculated total energy: -13.4 eV/f.u.

=====

## MnNi3 (PBE)

Data for crystalline MnNi3 at its relaxed geometry.

Geometry as extended XYZ:
```
16
Lattice="4.4348 0.0000 0.0000 0.0000 5.0594 0.0000 0.0000 0.0000 8.2161" Properties=species:S:1:pos:R:3 pbc="T T T"
Mn 4.0751 3.0674 2.0540
Mn 2.5771 0.5378 6.1621
Mn 1.8577 4.5216 2.0540
Mn 0.3597 1.9919 6.1621
Ni 4.0574 0.5795 2.0540
Ni 2.5948 3.1091 6.1621
Ni 1.8400 1.9502 2.0540
Ni 0.3774 4.4799 6.1621
Ni 1.1539 3.2074 8.2119
Ni 1.0635 0.6777 0.0042
Ni 3.3713 4.3817 4.1123
Ni 3.2809 1.8520 4.1038
Ni 3.2809 1.8520 0.0042
Ni 3.3713 4.3817 8.2119
Ni 1.0635 0.6777 4.1038
Ni 1.1539 3.2074 4.1123
```

* space-group type: Pnma
* ΔH_f (0 K): -0.03 eV/atom
* calculated total energy: -26.6 eV/f.u.

=====

## Mn5Ni (PBE)

Data for crystalline Mn5Ni at its relaxed geometry.

Geometry as extended XYZ:
```
6
Lattice="2.4837 0.0000 0.0000 1.2419 6.5186 0.0000 0.0000 0.0000 3.9943" Properties=species:S:1:pos:R:3 pbc="T T T"
Mn 1.2419 6.5157 0.0000
Mn 2.4837 4.3675 0.0000
Mn 1.2419 2.1931 0.0000
Mn 2.4837 5.7629 1.9971
Mn 1.2419 3.6051 1.9971
Ni 2.4837 1.4572 1.9971
```

* excess energy over the best structure of this formula in the dataset: 0.010 eV per atom
* space-group type: Amm2
* ΔH_f (0 K): 0.04 eV/atom
* calculated total energy: -51.4 eV/f.u.

=====

## MnNi2 (PBE)

Data for crystalline MnNi2 at its relaxed geometry.

Geometry as extended XYZ:
```
12
Lattice="-0.4243 -4.2953 2.6531 3.6050 -0.4178 -0.0998 0.6366 3.9434 6.4861" Properties=species:S:1:pos:R:3 pbc="T T T"
Mn 1.0078 -0.5116 5.5278
Mn 2.3990 -3.6345 2.8169
Mn 1.4183 2.8649 6.2224
Mn 2.8095 -0.2581 3.5115
Ni 1.0115 0.3959 1.8631
Ni 3.0132 0.9527 5.8012
Ni 0.8041 -1.7223 3.2381
Ni 2.8058 -1.1655 7.1762
Ni 1.2135 1.6093 4.0788
Ni 2.5978 -1.5830 1.4108
Ni 1.2196 0.8134 7.6286
Ni 2.6038 -2.3790 4.9606
```

* space-group type: Pnma
* ΔH_f (0 K): -0.06 eV/atom
* calculated total energy: -20.9 eV/f.u.

=====

## MnNi (PBE)

Data for crystalline MnNi at its relaxed geometry.

Geometry as extended XYZ:
```
4
Lattice="2.4759 0.0000 0.0000 0.0000 2.4759 0.0000 0.0000 0.0000 7.0170" Properties=species:S:1:pos:R:3 pbc="T T T"
Mn 0.6190 0.6190 0.8296
Mn 1.8569 1.8569 6.1874
Ni 0.6190 0.6190 4.4157
Ni 1.8569 1.8569 2.6013
```

* space-group type: P4/nmm
* ΔH_f (0 K): 0.05 eV/atom
* calculated total energy: -14.9 eV/f.u.

=====

## MnNi2 (PBE)

Data for crystalline MnNi2 at its relaxed geometry.

Geometry as extended XYZ:
```
3
Lattice="-1.2681 -3.4767 3.9709 1.1884 -5.0327 1.6503 1.4367 4.9226 -1.7797" Properties=species:S:1:pos:R:3 pbc="T T T"
Mn -0.0399 -4.2547 2.8106
Ni -0.0663 -7.0790 4.6763
Ni -0.0134 -1.4304 0.9449
```

* space-group type: I4/mmm
* ΔH_f (0 K): 0.01 eV/atom
* calculated total energy: -20.7 eV/f.u.